# 1
Computed, not measured: a geometry-optimized AgH3Cl structure at the PBE-GGA level of DFT.

It has space group Pm-3m (No. 221), with a = 3.796 Å, b = 3.796 Å, c = 3.796 Å, α = 90.00°, β = 90.00° and γ = 90.00°. The distinct sites, in fractional coordinates, are Ag at (0.000, 0.000, 0.000), H at (0.000, 0.500, 0.500) and Cl at (0.500, 0.500, 0.500).

The density comes out at 4.44 g cm⁻³. The calculation puts the distance to the lowest polymorph of the same formula at 438 meV per atom. The total magnetization is 0.00 μB/atom.

=====

# 2
Computed, not measured: a geometry-optimized AgHCl2 structure at the PBE-GGA level of DFT.

It has space group Pna2_1 (No. 33), with a = 7.307 Å, b = 7.865 Å, c = 5.786 Å, α = 90.00°, β = 90.00° and γ = 90.00°. The distinct sites, in fractional coordinates, are Ag at (0.221, 0.117, 0.000), H at (0.015, 0.735, 0.996), Cl at (0.041, 0.357, 0.695) and Cl at (0.090, 0.851, 0.750).

The density comes out at 3.59 g cm⁻³. The calculation puts the distance to the lowest polymorph of the same formula at 0 meV per atom. The total magnetization is 0.00 μB/atom.

=====

# 3
Computed, not measured: a geometry-optimized AgH3Cl structure at the PBE-GGA level of DFT.

It has space group Pm-3m (No. 221), with a = 3.744 Å, b = 3.744 Å, c = 3.744 Å, α = 90.00°, β = 90.00° and γ = 90.00°. The distinct sites, in fractional coordinates, are Ag at (0.000, 0.000, 0.000), H at (0.000, 0.000, 0.500) and Cl at (0.500, 0.500, 0.500).

The density comes out at 4.63 g cm⁻³. The calculation puts the distance to the lowest polymorph of the same formula at 0 meV per atom. The total magnetization is 0.00 μB/atom.

=====

# 4
Computed, not measured: a geometry-optimized AgH2Cl2 structure at the PBE-GGA level of DFT.

It has space group I4/mmm (No. 139), with a = 3.437 Å, b = 3.437 Å, c = 11.566 Å, α = 90.00°, β = 90.00° and γ = 90.00°. The distinct sites, in fractional coordinates, are Ag at (0.000, 0.000, 0.000), H at (0.000, 0.500, 0.250) and Cl at (0.000, 0.000, 0.340).

The density comes out at 4.39 g cm⁻³. The calculation puts the distance to the lowest polymorph of the same formula at 664 meV per atom. The total magnetization is 0.00 μB/atom.